Entry 1:
DFT (SCAN) results for SrReRh at its PBEsol-relaxed geometry.

a = 2.808 Å, b = 4.757 Å, c = 4.757 Å
α = 120.00°, β = 90.00°, γ = 90.00°
Sites, in units of the cell vectors:
Re (0.000, 0.000, 0.000)
Sr (0.500, 0.667, 0.333)
Rh (0.000, 0.333, 0.667)

Values from the calculation:
Crystal system   hexagonal
ΔE to the lowest computed polymorph   0.0 kJ per mole of atoms

Entry 2:
DFT (SCAN) results for SrReRh at its PBEsol-relaxed geometry.

a = 2.886 Å, b = 2.886 Å, c = 7.470 Å
α = 90.00°, β = 90.00°, γ = 120.00°
Sites, in units of the cell vectors:
Re (0.000, 0.000, 0.964)
Sr (0.333, 0.667, 0.338)
Rh (0.667, 0.333, 0.698)

Values from the calculation:
Crystal system   trigonal
ΔE to the lowest computed polymorph   4.6 kJ per mole of atoms

Entry 3:
DFT (SCAN) results for SrRe2Rh at its PBEsol-relaxed geometry.

a = 2.907 Å, b = 4.658 Å, c = 6.164 Å
α = 99.21°, β = 90.00°, γ = 108.18°
Sites, in units of the cell vectors:
Rh (0.521, 0.042, 0.563)
Re (0.246, 0.492, 0.778)
Re (0.977, 0.954, 0.892)
Sr (0.756, 0.512, 0.267)

Values from the calculation:
Crystal system   monoclinic
ΔE to the lowest computed polymorph   10.2 kJ per mole of atoms

Entry 4:
DFT (SCAN) results for TaReRh3 at its PBEsol-relaxed geometry.

a = 4.575 Å, b = 4.575 Å, c = 4.575 Å
α = 90.00°, β = 90.00°, γ = 90.00°
Sites, in units of the cell vectors:
Rh (0.500, 0.000, 0.000)
Rh (0.000, 0.000, 0.500)
Rh (0.000, 0.500, 0.000)
Ta (0.500, 0.500, 0.500)
Re (0.000, 0.000, 0.000)

Values from the calculation:
Crystal system   cubic

Entry 5:
DFT (SCAN) results for TaRe2Rh at its PBEsol-relaxed geometry.

a = 3.851 Å, b = 3.851 Å, c = 4.880 Å
α = 113.24°, β = 113.24°, γ = 90.00°
Sites, in units of the cell vectors:
Ta (0.000, 0.000, 0.000)
Rh (0.500, 0.500, 0.000)
Re (0.750, 0.250, 0.500)
Re (0.250, 0.750, 0.500)

Values from the calculation:
Crystal system   tetragonal
ΔE to the lowest computed polymorph   0.0 kJ per mole of atoms

Entry 6:
DFT (SCAN) results for TaRe2Rh at its PBEsol-relaxed geometry.

a = 4.409 Å, b = 4.409 Å, c = 4.409 Å
α = 60.00°, β = 60.00°, γ = 60.00°
Sites, in units of the cell vectors:
Ta (0.250, 0.250, 0.250)
Re (0.000, 0.000, 0.000)
Re (0.750, 0.750, 0.750)
Rh (0.500, 0.500, 0.500)

Values from the calculation:
Crystal system   cubic
ΔE to the lowest computed polymorph   12.5 kJ per mole of atoms

Entry 7:
DFT (SCAN) results for ReTc2Rh at its PBEsol-relaxed geometry.

a = 2.704 Å, b = 2.704 Å, c = 7.656 Å
α = 90.00°, β = 90.00°, γ = 90.00°
Sites, in units of the cell vectors:
Rh (0.500, 0.500, 0.748)
Tc (0.500, 0.500, 0.247)
Tc (0.000, 0.000, 0.004)
Re (0.000, 0.000, 0.500)

Values from the calculation:
Crystal system   tetragonal

Entry 8:
DFT (SCAN) results for ReTcRh2 at its PBEsol-relaxed geometry.

a = 2.681 Å, b = 4.307 Å, c = 4.750 Å
α = 90.00°, β = 90.00°, γ = 90.00°
Sites, in units of the cell vectors:
Rh (0.000, 0.000, 0.039)
Rh (0.000, 0.500, 0.709)
Re (0.500, 0.500, 0.214)
Tc (0.500, 0.000, 0.539)

Values from the calculation:
Crystal system   orthorhombic
ΔE to the lowest computed polymorph   0.0 kJ per mole of atoms

Entry 9:
DFT (SCAN) results for ReTc2Rh at its PBEsol-relaxed geometry.

a = 2.689 Å, b = 3.850 Å, c = 5.412 Å
α = 90.00°, β = 90.00°, γ = 90.00°
Sites, in units of the cell vectors:
Re (0.500, 0.500, 0.000)
Rh (0.500, 0.500, 0.500)
Tc (0.000, 0.000, 0.755)
Tc (0.000, 0.000, 0.245)

Values from the calculation:
Crystal system   orthorhombic

Entry 10:
DFT (SCAN) results for Re2TcRh at its PBEsol-relaxed geometry.

a = 3.834 Å, b = 3.834 Å, c = 3.835 Å
α = 90.00°, β = 90.00°, γ = 90.00°
Sites, in units of the cell vectors:
Re (0.500, 0.000, 0.000)
Re (0.000, 0.500, 0.000)
Rh (0.500, 0.500, 0.500)
Tc (0.000, 0.000, 0.500)

Values from the calculation:
Crystal system   tetragonal
ΔE to the lowest computed polymorph   0.0 kJ per mole of atoms

Entry 11:
DFT (SCAN) results for Re2TcRh at its PBEsol-relaxed geometry.

a = 3.228 Å, b = 3.228 Å, c = 5.523 Å
α = 90.00°, β = 90.00°, γ = 90.00°
Sites, in units of the cell vectors:
Tc (0.500, 0.500, 0.500)
Re (0.000, 0.000, 0.762)
Re (0.000, 0.000, 0.238)
Rh (0.500, 0.500, 0.000)

Values from the calculation:
Crystal system   tetragonal
ΔE to the lowest computed polymorph   31.1 kJ per mole of atoms

Entry 12:
DFT (SCAN) results for ReTcRh2 at its PBEsol-relaxed geometry.

a = 3.766 Å, b = 3.766 Å, c = 4.706 Å
α = 113.59°, β = 113.59°, γ = 90.00°
Sites, in units of the cell vectors:
Tc (0.000, 0.000, 0.000)
Rh (0.250, 0.750, 0.500)
Rh (0.750, 0.250, 0.500)
Re (0.500, 0.500, 0.000)

Values from the calculation:
Crystal system   tetragonal
ΔE to the lowest computed polymorph   13.0 kJ per mole of atoms

Entry 13:
DFT (SCAN) results for Ti2ReRh at its PBEsol-relaxed geometry.

a = 4.339 Å, b = 4.339 Å, c = 4.339 Å
α = 60.00°, β = 60.00°, γ = 60.00°
Sites, in units of the cell vectors:
Ti (0.750, 0.750, 0.750)
Ti (0.250, 0.250, 0.250)
Rh (0.000, 0.000, 0.000)
Re (0.500, 0.500, 0.500)

Values from the calculation:
Crystal system   cubic

Entry 14:
DFT (SCAN) results for TlReRh at its PBEsol-relaxed geometry.

a = 4.337 Å, b = 4.337 Å, c = 4.337 Å
α = 60.00°, β = 60.00°, γ = 60.00°
Sites, in units of the cell vectors:
Tl (0.500, 0.500, 0.500)
Rh (0.000, 0.000, 0.000)
Re (0.250, 0.250, 0.250)

Values from the calculation:
Crystal system   cubic

Entry 15:
DFT (SCAN) results for Re2RhW at its PBEsol-relaxed geometry.

a = 3.854 Å, b = 3.854 Å, c = 3.909 Å
α = 90.00°, β = 90.00°, γ = 90.00°
Sites, in units of the cell vectors:
Re (0.000, 0.500, 0.000)
Re (0.500, 0.000, 0.000)
Rh (0.500, 0.500, 0.500)
W (0.000, 0.000, 0.500)

Values from the calculation:
Crystal system   tetragonal
ΔE to the lowest computed polymorph   0.0 kJ per mole of atoms

Entry 16:
DFT (SCAN) results for Re2RhW at its PBEsol-relaxed geometry.

a = 4.371 Å, b = 4.371 Å, c = 4.371 Å
α = 60.00°, β = 60.00°, γ = 60.00°
Sites, in units of the cell vectors:
Re (0.250, 0.250, 0.250)
Re (0.750, 0.750, 0.750)
W (0.500, 0.500, 0.500)
Rh (0.000, 0.000, 0.000)

Values from the calculation:
Crystal system   cubic
ΔE to the lowest computed polymorph   33.4 kJ per mole of atoms

The energy of formation from the pure elements results, record by record, are as follows: 878; 926; 520; 1518; -121; 9; -28; -220; -28; -71; 251; -86; -828; 1043; -58; 288 meV/atom.